(1)
First-principles (PBE) data for a relaxed PaCrC crystal, as listed in Alexandria via LeMat-Bulk.

POSCAR file:
```
PaCrC
1.0
1.703 0.983 8.960
-1.703 0.983 8.960
0.000 -1.966 8.960
Pa Cr C
2 2 2
direct
0.218 0.218 0.218 Pa
0.782 0.782 0.782 Pa
0.378 0.378 0.378 Cr
0.622 0.622 0.622 Cr
0.057 0.057 0.057 C
0.943 0.943 0.943 C
```

Energy above the most stable polymorph in this dataset: 3.22 kcal/mol of atoms
Space-group type: R-3m
Mass density: 10.9 Mg/m³
Calculated formation energy: 0.7 eV/f.u.



(2)
First-principles (PBE) data for a relaxed Si2TcHg crystal, as listed in Alexandria via LeMat-Bulk.

POSCAR file:
```
Si2TcHg
1.0
-1.927 1.927 4.239
1.927 -1.927 4.239
1.927 1.927 -4.239
Si Tc Hg
2 1 1
direct
0.000 0.000 0.000 Si
0.750 0.250 0.500 Si
0.250 0.750 0.500 Tc
0.500 0.500 0.000 Hg
```

Space-group type: I-4m2
Mass density: 9.4 Mg/m³
ΔE_f (raw): 526 meV/atom



(3)
First-principles (PBE) data for a relaxed Tb6Te3PIr2 crystal, as listed in Alexandria via LeMat-Bulk.

POSCAR file:
```
Tb6Te3PIr2
1.0
3.611 -6.259 0.000
3.611 6.259 0.000
-2.435 0.000 7.171
Tb Te P Ir
6 3 1 2
direct
0.094 0.431 0.792 Tb
0.234 0.234 0.209 Tb
0.431 0.094 0.792 Tb
0.569 0.906 0.208 Tb
0.766 0.766 0.791 Tb
0.906 0.569 0.208 Tb
0.000 0.000 0.500 Te
0.335 0.665 0.500 Te
0.665 0.335 0.500 Te
0.500 0.500 0.000 P
0.167 0.833 0.000 Ir
0.833 0.167 0.000 Ir
```

Space-group type: C2/m
Mass density: 9.0 Mg/m³
ΔE_f (raw): -1197 meV/atom



(4)
First-principles (PBE) data for a relaxed LiTmPb3 crystal, as listed in Alexandria via LeMat-Bulk.

POSCAR file:
```
LiTmPb3
1.0
7.151 0.000 0.000
-3.575 6.193 0.000
0.000 0.000 6.009
Li Tm Pb
2 2 6
direct
0.000 0.000 0.000 Li
0.000 0.000 0.500 Li
0.333 0.667 0.250 Tm
0.667 0.333 0.750 Tm
0.188 0.376 0.750 Pb
0.188 0.812 0.750 Pb
0.376 0.188 0.250 Pb
0.624 0.812 0.750 Pb
0.812 0.188 0.250 Pb
0.812 0.624 0.250 Pb
```

Space-group type: P6_3/mmc
Mass density: 10.0 Mg/m³
Calculated formation energy: -0.5 eV/f.u.



(5)
First-principles (PBE) data for a relaxed Rb2LiPbBr5 crystal, as listed in Alexandria via LeMat-Bulk.

POSCAR file:
```
Rb2LiPbBr5
1.0
2.283 -9.765 0.000
2.283 9.765 0.000
0.000 0.000 14.866
Rb Li Pb Br
4 2 2 10
direct
0.099 0.901 0.500 Rb
0.127 0.873 0.155 Rb
0.873 0.127 0.655 Rb
0.901 0.099 0.000 Rb
0.445 0.555 0.256 Li
0.555 0.445 0.756 Li
0.202 0.798 0.857 Pb
0.798 0.202 0.357 Pb
0.044 0.956 0.840 Br
0.286 0.714 0.498 Br
0.312 0.688 0.217 Br
0.353 0.647 0.833 Br
0.498 0.502 0.607 Br
0.502 0.498 0.107 Br
0.647 0.353 0.333 Br
0.688 0.312 0.717 Br
0.714 0.286 0.998 Br
0.956 0.044 0.340 Br
```

Space-group type: Cmc2_1
Mass density: 3.9 Mg/m³
ΔE_f (raw): -1440 meV/atom



(6)
First-principles (PBE) data for a relaxed TbPmHo5Th2 crystal, as listed in Alexandria via LeMat-Bulk.

POSCAR file:
```
TbPmHo5Th2
1.0
-4.421 4.421 7.606
4.421 -4.421 7.606
4.421 4.421 -7.606
Tb Pm Ho Th
2 2 10 4
direct
0.250 0.750 0.500 Tb
0.750 0.250 0.500 Tb
0.250 0.250 0.000 Pm
0.750 0.750 0.000 Pm
0.000 0.000 0.000 Ho
0.070 0.570 0.916 Ho
0.154 0.070 0.500 Ho
0.346 0.846 0.916 Ho
0.430 0.346 0.500 Ho
0.500 0.500 0.000 Ho
0.570 0.654 0.500 Ho
0.654 0.154 0.084 Ho
0.846 0.930 0.500 Ho
0.930 0.430 0.084 Ho
0.119 0.381 0.500 Th
0.381 0.881 0.263 Th
0.619 0.119 0.737 Th
0.881 0.619 0.500 Th
```

Space-group type: I4/mcm
Mass density: 8.9 Mg/m³
Calculated formation energy: 3.0 eV/f.u.



(7)
First-principles (PBE) data for a relaxed TaZnRu3 crystal, as listed in Alexandria via LeMat-Bulk.

POSCAR file:
```
TaZnRu3
1.0
4.723 0.000 0.000
0.000 4.723 0.000
0.000 0.000 4.723
Ta Zn Ru
1 1 3
direct
0.000 0.000 0.000 Ta
0.500 0.500 0.500 Zn
0.000 0.000 0.500 Ru
0.000 0.500 0.000 Ru
0.500 0.000 0.000 Ru
```

Energy above the most stable polymorph in this dataset: 6.01 kcal/mol of atoms
Space-group type: Pm-3m
Mass density: 8.7 Mg/m³
Calculated formation energy: 7.3 eV/f.u.



(8)
First-principles (PBE) data for a relaxed Rb4AgCl6 crystal, as listed in Alexandria via LeMat-Bulk.

POSCAR file:
```
Rb4AgCl6
1.0
9.002 0.000 0.000
0.000 9.002 0.000
0.000 0.000 9.050
Rb Ag Cl
8 2 12
direct
0.165 0.335 0.250 Rb
0.165 0.335 0.750 Rb
0.335 0.835 0.250 Rb
0.335 0.835 0.750 Rb
0.665 0.165 0.250 Rb
0.665 0.165 0.750 Rb
0.835 0.665 0.250 Rb
0.835 0.665 0.750 Rb
0.000 0.000 0.000 Ag
0.500 0.500 0.500 Ag
0.000 0.000 0.269 Cl
0.000 0.000 0.731 Cl
0.103 0.698 0.000 Cl
0.198 0.603 0.500 Cl
0.302 0.103 0.000 Cl
0.397 0.198 0.500 Cl
0.500 0.500 0.231 Cl
0.500 0.500 0.769 Cl
0.603 0.802 0.500 Cl
0.698 0.897 0.000 Cl
0.802 0.397 0.500 Cl
0.897 0.302 0.000 Cl
```

Space-group type: P4/mnc
Mass density: 3.0 Mg/m³
ΔE_f (raw): -1498 meV/atom



(9)
First-principles (PBE) data for a relaxed MnTeOs2 crystal, as listed in Alexandria via LeMat-Bulk.

POSCAR file:
```
MnTeOs2
1.0
1.487 0.859 8.443
-1.487 0.859 8.443
0.000 -1.717 8.443
Mn Te Os
1 1 2
direct
0.000 0.000 0.000 Mn
0.500 0.500 0.500 Te
0.256 0.256 0.256 Os
0.744 0.744 0.744 Os
```

Space-group type: R-3m
Mass density: 14.4 Mg/m³
ΔE_f (raw): 707 meV/atom



(10)
First-principles (PBE) data for a relaxed MgTl crystal, as listed in Alexandria via LeMat-Bulk.

POSCAR file:
```
MgTl
1.0
-1.856 2.525 5.447
1.856 -2.525 5.447
1.856 2.525 -5.447
Mg Tl
2 2
direct
0.377 0.127 0.250 Mg
0.623 0.873 0.750 Mg
0.130 0.380 0.750 Tl
0.870 0.620 0.250 Tl
```

Space-group type: Imma
Mass density: 7.4 Mg/m³
Calculated formation energy: 0.0 eV/f.u.



(11)
First-principles (PBE) data for a relaxed Pr8Tl2Hg crystal, as listed in Alexandria via LeMat-Bulk.

POSCAR file:
```
Pr8Tl2Hg
1.0
8.481 -2.794 0.000
8.481 2.794 0.000
-4.674 0.000 7.661
Pr Tl Hg
8 2 1
direct
0.069 0.069 0.219 Pr
0.134 0.134 0.682 Pr
0.321 0.321 0.554 Pr
0.410 0.410 0.058 Pr
0.590 0.590 0.942 Pr
0.679 0.679 0.446 Pr
0.866 0.866 0.318 Pr
0.931 0.931 0.781 Pr
0.228 0.228 0.121 Tl
0.772 0.772 0.879 Tl
0.500 0.500 0.500 Hg
```

Energy above the most stable polymorph in this dataset: 0.00 kcal/mol of atoms
Space-group type: C2/m
Mass density: 7.9 Mg/m³
Calculated formation energy: -2.2 eV/f.u.



(12)
First-principles (PBE) data for a relaxed Pm4AgAu5 crystal, as listed in Alexandria via LeMat-Bulk.

POSCAR file:
```
Pm4AgAu5
1.0
3.673 0.000 0.000
0.000 3.673 0.000
0.000 0.000 17.596
Pm Ag Au
4 1 5
direct
0.000 0.000 0.106 Pm
0.000 0.000 0.320 Pm
0.000 0.000 0.680 Pm
0.000 0.000 0.894 Pm
0.000 0.000 0.500 Ag
0.500 0.500 0.000 Au
0.500 0.500 0.210 Au
0.500 0.500 0.417 Au
0.500 0.500 0.583 Au
0.500 0.500 0.790 Au
```

Space-group type: P4/mmm
Mass density: 11.7 Mg/m³
Calculated formation energy: -6.8 eV/f.u.



(13)
First-principles (PBE) data for a relaxed Pm2MgRh3 crystal, as listed in Alexandria via LeMat-Bulk.

POSCAR file:
```
Pm2MgRh3
1.0
-2.297 2.741 5.021
2.297 -2.741 5.021
2.297 2.741 -5.021
Pm Mg Rh
2 1 3
direct
0.180 0.180 0.000 Pm
0.820 0.820 0.000 Pm
0.500 0.500 0.000 Mg
0.000 0.500 0.500 Rh
0.365 0.865 0.500 Rh
0.635 0.135 0.500 Rh
```

Energy above the most stable polymorph in this dataset: 5.79 kcal/mol of atoms
Space-group type: Immm
Mass density: 8.2 Mg/m³
Calculated formation energy: -2.3 eV/f.u.



(14)
First-principles (PBE) data for a relaxed Pr5ErTl6 crystal, as listed in Alexandria via LeMat-Bulk.

POSCAR file:
```
Pr5ErTl6
1.0
5.547 0.000 0.000
0.000 7.746 0.000
-2.724 0.000 8.323
Pr Er Tl
5 1 6
direct
0.000 0.000 0.000 Pr
0.330 0.000 0.659 Pr
0.334 0.500 0.668 Pr
0.666 0.500 0.332 Pr
0.670 0.000 0.341 Pr
0.000 0.500 0.000 Er
0.163 0.256 0.325 Tl
0.163 0.744 0.325 Tl
0.500 0.255 0.000 Tl
0.500 0.745 0.000 Tl
0.837 0.256 0.675 Tl
0.837 0.744 0.675 Tl
```

Space-group type: P2/m
Mass density: 9.7 Mg/m³
Calculated formation energy: -4.5 eV/f.u.



(15)
First-principles (PBE) data for a relaxed EuPuSb2 crystal, as listed in Alexandria via LeMat-Bulk.

POSCAR file:
```
EuPuSb2
1.0
0.000 3.864 3.864
3.864 0.000 3.864
3.864 3.864 0.000
Eu Pu Sb
1 1 2
direct
0.000 0.000 0.000 Eu
0.500 0.500 0.500 Pu
0.250 0.250 0.250 Sb
0.750 0.750 0.750 Sb
```

Energy above the most stable polymorph in this dataset: 2.63 kcal/mol of atoms
Space-group type: Fm-3m
Mass density: 9.2 Mg/m³
ΔE_f (raw): -644 meV/atom



(16)
First-principles (PBE) data for a relaxed MgCuRuC crystal, as listed in Alexandria via LeMat-Bulk.

POSCAR file:
```
MgCuRuC
1.0
4.296 0.000 0.000
0.000 3.079 0.000
-2.126 0.000 4.182
Mg Cu Ru C
1 1 1 1
direct
0.000 0.000 0.000 Mg
0.650 0.500 0.297 Cu
0.308 0.500 0.667 Ru
0.029 0.000 0.507 C
```

Energy above the most stable polymorph in this dataset: 2.78 kcal/mol of atoms
Space-group type: Pm
Mass density: 6.0 Mg/m³
Calculated formation energy: 1.4 eV/f.u.



(17)
First-principles (PBE) data for a relaxed OsPb crystal, as listed in Alexandria via LeMat-Bulk.

POSCAR file:
```
OsPb
1.0
5.130 0.000 0.000
-2.565 4.442 0.000
0.000 0.000 7.831
Os Pb
4 4
direct
0.333 0.667 0.100 Os
0.333 0.667 0.400 Os
0.667 0.333 0.600 Os
0.667 0.333 0.900 Os
0.000 0.000 0.250 Pb
0.000 0.000 0.750 Pb
0.333 0.667 0.750 Pb
0.667 0.333 0.250 Pb
```

Space-group type: P6_3/mmc
Mass density: 14.8 Mg/m³
Calculated formation energy: 2.7 eV/f.u.



(18)
First-principles (PBE) data for a relaxed Np2Ni4Ge3Pd crystal, as listed in Alexandria via LeMat-Bulk.

POSCAR file:
```
Np2Ni4Ge3Pd
1.0
3.852 0.000 0.000
0.000 3.852 0.000
0.000 0.000 10.885
Np Ni Ge Pd
2 4 3 1
direct
0.000 0.500 0.244 Np
0.500 0.000 0.756 Np
0.000 0.000 0.500 Ni
0.000 0.500 0.842 Ni
0.500 0.000 0.158 Ni
0.500 0.500 0.500 Ni
0.000 0.000 0.000 Ge
0.000 0.500 0.626 Ge
0.500 0.000 0.374 Ge
0.500 0.500 0.000 Pd
```

Space-group type: P-4m2
Mass density: 10.6 Mg/m³
Calculated formation energy: -3.3 eV/f.u.



(19)
First-principles (PBE) data for a relaxed SmDyBrN crystal, as listed in Alexandria via LeMat-Bulk.

POSCAR file:
```
SmDyBrN
1.0
1.819 1.050 7.176
-1.819 1.050 7.176
0.000 -2.100 7.176
Sm Dy Br N
1 1 1 1
direct
0.000 0.000 0.000 Sm
0.786 0.786 0.786 Dy
0.224 0.224 0.224 Br
0.404 0.404 0.404 N
```

Space-group type: R3m
Mass density: 8.2 Mg/m³
ΔE_f (raw): -1423 meV/atom



(20)
First-principles (PBE) data for a relaxed Zr2FeOs crystal, as listed in Alexandria via LeMat-Bulk.

POSCAR file:
```
Zr2FeOs
1.0
3.168 0.000 0.000
0.000 4.213 0.000
0.000 0.000 5.432
Zr Fe Os
2 1 1
direct
0.000 0.000 0.000 Zr
0.500 0.500 0.355 Zr
0.000 0.000 0.504 Fe
0.500 0.500 0.847 Os
```

Space-group type: Pmm2
Mass density: 9.8 Mg/m³
Calculated formation energy: 0.3 eV/f.u.



(21)
First-principles (PBE) data for a relaxed CrIr2Rh crystal, as listed in Alexandria via LeMat-Bulk.

POSCAR file:
```
CrIr2Rh
1.0
4.485 -1.354 0.000
4.485 1.354 0.000
-0.865 0.000 4.581
Cr Ir Rh
1 2 1
direct
0.000 0.000 0.000 Cr
0.256 0.256 0.756 Ir
0.744 0.744 0.244 Ir
0.500 0.500 0.500 Rh
```

Space-group type: C2/m
Mass density: 16.1 Mg/m³
Calculated formation energy: -0.4 eV/f.u.



(22)
First-principles (PBE) data for a relaxed BaAlGa crystal, as listed in Alexandria via LeMat-Bulk.

POSCAR file:
```
BaAlGa
1.0
4.493 0.000 0.000
-2.246 3.891 0.000
0.000 0.000 5.212
Ba Al Ga
1 1 1
direct
0.000 0.000 0.000 Ba
0.333 0.667 0.500 Al
0.667 0.333 0.500 Ga
```

Space-group type: P-6m2
Mass density: 4.3 Mg/m³
Calculated formation energy: -1.0 eV/f.u.



(23)
First-principles (PBE) data for a relaxed Hf2NbTl crystal, as listed in Alexandria via LeMat-Bulk.

POSCAR file:
```
Hf2NbTl
1.0
3.141 0.000 0.000
0.899 7.278 0.000
0.330 0.594 7.595
Hf Nb Tl
4 2 2
direct
0.000 0.000 0.000 Hf
0.100 0.859 0.414 Hf
0.233 0.388 0.878 Hf
0.575 0.758 0.745 Hf
0.728 0.141 0.661 Nb
0.935 0.482 0.518 Nb
0.469 0.223 0.277 Tl
0.649 0.633 0.145 Tl
```

Energy above the most stable polymorph in this dataset: 2.87 kcal/mol of atoms
Space-group type: P1
Mass density: 12.5 Mg/m³
Calculated formation energy: 0.4 eV/f.u.



(24)
First-principles (PBE) data for a relaxed La4Dy3Ho4 crystal, as listed in Alexandria via LeMat-Bulk.

POSCAR file:
```
La4Dy3Ho4
1.0
10.761 0.000 0.000
0.000 2.868 6.008
0.000 -2.868 6.008
La Dy Ho
4 3 4
direct
0.000 0.000 0.000 La
0.205 0.804 0.804 La
0.500 0.918 0.918 La
0.795 0.804 0.804 La
0.000 0.295 0.295 Dy
0.285 0.455 0.455 Dy
0.715 0.455 0.455 Dy
0.000 0.594 0.594 Ho
0.306 0.147 0.147 Ho
0.500 0.644 0.644 Ho
0.694 0.147 0.147 Ho
```

Energy above the most stable polymorph in this dataset: 0.64 kcal/mol of atoms
Space-group type: Amm2
Mass density: 7.6 Mg/m³
Calculated formation energy: 1.7 eV/f.u.